Record 1
The following is a GGA-PBE calculation of crystalline MgTaTi2 at its relaxed geometry, from the Alexandria database.

Cell: 2.999 2.999 9.847 Å, 81.24 81.24 60.00°
Sites, in units of the cell vectors:
Mg (0.500, 0.500, 0.500)
Ti (0.255, 0.255, 0.236)
Ti (0.745, 0.745, 0.764)
Ta (0.000, 0.000, 0.000)

Computed properties:
DFT formation energy (eV per atom): 0.13



Record 2
The following is a GGA-PBE calculation of crystalline MgTaTi2 at its relaxed geometry, from the Alexandria database.

Cell: 2.986 2.986 9.933 Å, 81.35 81.35 60.00°
Sites, in units of the cell vectors:
Ta (0.667, 0.667, 0.000)
Ti (0.255, 0.255, 0.236)
Ti (0.078, 0.078, 0.765)
Mg (0.500, 0.500, 0.500)

Computed properties:
DFT formation energy (eV per atom): 0.15



Record 3
The following is a GGA-PBE calculation of crystalline MgTaTi3 at its relaxed geometry, from the Alexandria database.

Cell: 4.866 4.866 4.866 Å, 90.00 90.00 90.00°
Sites, in units of the cell vectors:
Ta (0.000, 0.000, 0.000)
Mg (0.500, 0.500, 0.500)
Ti (0.500, 0.000, 0.000)
Ti (0.000, 0.000, 0.500)
Ti (0.000, 0.500, 0.000)

Computed properties:
DFT formation energy (eV per atom): 0.93
ΔE to the lowest computed polymorph (meV per atom): 0